The following is a DFT calculation (PBE) of an optimized crystal structure of KRuW2.

The structure in POSCAR format:
```
KRuW2
1.0
1.5894 -2.3047 0.0000
1.5894 2.3047 0.0000
0.0000 0.0000 10.2316
K Ru W
1 1 2
Direct
0.0000 0.0000 0.0000
0.5000 0.5000 0.2778
0.0000 0.0000 0.4787
0.5000 0.5000 0.6904
```

Properties
The value obtained for the energy of formation from the pure elements is 768.4 meV/atom. Its crystal system is orthorhombic. As for the space group: No. 35.

=====

The following is a DFT calculation (PBE) of an optimized crystal structure of K2RuW.

The structure in POSCAR format:
```
K2RuW
1.0
1.5242 -2.3080 0.0000
1.5242 2.3080 0.0000
0.0000 0.0000 11.9962
K Ru W
2 1 1
Direct
0.0000 0.0000 0.2358
0.0000 0.0000 0.7642
0.5000 0.5000 0.0000
0.5000 0.5000 0.5000
```

Properties
The value obtained for the energy of formation from the pure elements is 1416.0 meV/atom. Its crystal system is orthorhombic. As for the space group: No. 65.

=====

The following is a DFT calculation (PBE) of an optimized crystal structure of KRuW3.

The structure in POSCAR format:
```
KRuW3
1.0
4.4318 0.0000 0.0000
0.0000 4.4318 0.0000
0.0000 0.0000 4.4318
K Ru W
1 1 3
Direct
0.0000 0.0000 0.0000
0.5000 0.5000 0.5000
0.0000 0.0000 0.5000
0.0000 0.5000 0.0000
0.5000 0.0000 0.0000
```

Properties
The value obtained for the energy of formation from the pure elements is 3673.7 meV/atom. Its crystal system is cubic. As for the space group: No. 221.

=====

| no. | energy relative to the lowest polymorph listed for this composition (meV/atom) |
| --- | --- |
| 1 | 0.0 |
| 2 | 636.7 |
| 3 | 1589.1 |